{
  "formula": "HBr",
  "functional": "PBE-GGA",
  "state": "relaxed",
  "lattice_angstrom": [[4.621, 0.000, -0.234], [0.000, 5.701, 0.000], [-1.220, 0.000, 4.489]],
  "species": ["H", "H", "Br", "Br"],
  "fractional_positions": [[0.691, 0.448, 0.976], [0.191, 0.552, 0.476], [0.884, 0.269, 0.169], [0.384, 0.731, 0.669]],
  "vol_a3_per_atom": 29.16,
  "space_group": "No. 7",
  "total_magnetization_mub_per_cell": 0.00,
  "total_energy_ev_per_atom": -2.76
}